VASP calculation (PBE) on a relaxed ZrMo2W crystal.

* distance to the lowest polymorph of the same formula: 0.08 eV/f.u.
* density of states at the Fermi level: 2.5 states/eV/cell
* calculated formation energy: -9 meV/atom
* VASP energy: -10.7997 eV per atom

The structure in extended XYZ format:
```
4
Lattice="-1.6261 4.2126 2.9970 -3.4510 -0.9818 4.0618 4.8808 -1.1329 -2.0655" Properties=species:S:1:pos:R:3 pbc="T T T"
W -2.4853 1.5815 3.4553
Mo -0.0488 0.0310 0.0678
Mo -0.5516 -0.2515 2.7589
Zr 0.3507 2.3522 2.2406
```